Entry 1:
Here is an optimized crystal structure of Mg3Hg4 from the Alexandria database. Energies are from PBE-GGA. Values from VASP.

The structure in Quantum ESPRESSO input format:
```
&SYSTEM
  ibrav = 0, nat = 7, ntyp = 2
/
ATOMIC_SPECIES
Hg 200.59 Hg.upf
Mg 24.30 Mg.upf
CELL_PARAMETERS angstrom
3.010 -5.214 0.000
3.010 5.214 0.000
0.000 0.000 5.316
ATOMIC_POSITIONS crystal
Hg 0.667 0.333 0.500
Hg 0.000 0.000 0.252
Hg 0.333 0.667 0.500
Hg 0.000 0.000 0.748
Mg 0.000 0.500 0.000
Mg 0.500 0.000 0.000
Mg 0.500 0.500 0.000
```

## Properties
- Offset from the most stable computed form: 122 meV per atom
- ΔH_f (0 K): -0.3 eV per formula unit
- Calculated volume: 166.9 Å³ per cell

=====

Entry 2:
Here is an optimized crystal structure of CoReSe2 from the Alexandria database. Energies are from PBE-GGA. Values from VASP.

The structure in Quantum ESPRESSO input format:
```
&SYSTEM
  ibrav = 0, nat = 4, ntyp = 3
/
ATOMIC_SPECIES
Re 186.21 Re.upf
Se 78.96 Se.upf
Co 58.93 Co.upf
CELL_PARAMETERS angstrom
-0.748 2.628 6.538
2.482 -1.370 6.494
0.900 1.192 -6.927
ATOMIC_POSITIONS crystal
Re 0.250 0.750 0.500
Se 0.878 0.878 0.000
Se 0.622 0.622 0.000
Co 0.750 0.250 0.500
```

## Properties
- Offset from the most stable computed form: 194 meV per atom
- Calculated volume: 86.6 Å³ per cell
- Raw formation energy: 41.7 kJ/mol of formula units

=====

Entry 3:
Here is an optimized crystal structure of LaZnRu2 from the Alexandria database. Energies are from PBE-GGA. Values from VASP.

The structure in Quantum ESPRESSO input format:
```
&SYSTEM
  ibrav = 0, nat = 4, ntyp = 3
/
ATOMIC_SPECIES
La 138.91 La.upf
Ru 101.07 Ru.upf
Zn 65.41 Zn.upf
CELL_PARAMETERS angstrom
-3.464 2.910 -0.231
-0.713 -0.620 2.879
2.898 3.670 2.781
ATOMIC_POSITIONS crystal
La 0.500 0.759 0.739
Ru 0.000 0.004 0.075
Ru 0.500 0.380 0.216
Zn 0.000 0.357 0.470
```

## Properties
- ΔH_f (0 K): 0.3 eV per formula unit
- Calculated volume: 72.8 Å³ per cell

=====

Entry 4:
Here is an optimized crystal structure of PrYGaRu from the Alexandria database. Energies are from PBE-GGA. Values from VASP.

The structure in Quantum ESPRESSO input format:
```
&SYSTEM
  ibrav = 0, nat = 4, ntyp = 4
/
ATOMIC_SPECIES
Pr 140.91 Pr.upf
Y 88.91 Y.upf
Ga 69.72 Ga.upf
Ru 101.07 Ru.upf
CELL_PARAMETERS angstrom
-0.404 -4.893 1.179
1.565 -1.648 4.508
-3.369 -1.496 3.450
ATOMIC_POSITIONS crystal
Pr 0.000 0.000 0.000
Y 0.500 0.500 0.500
Ga 0.250 0.250 0.250
Ru 0.750 0.750 0.750
```

## Properties
- Offset from the most stable computed form: 71 meV per atom
- ΔH_f (0 K): -1.4 eV per formula unit
- Calculated volume: 91.0 Å³ per cell

=====

Entry 5:
Here is an optimized crystal structure of Zr2Al3Ag from the Alexandria database. Energies are from PBE-GGA. Values from VASP.

The structure in Quantum ESPRESSO input format:
```
&SYSTEM
  ibrav = 0, nat = 6, ntyp = 3
/
ATOMIC_SPECIES
Al 26.98 Al.upf
Ag 107.87 Ag.upf
Zr 91.22 Zr.upf
CELL_PARAMETERS angstrom
4.767 -0.145 -2.511
-3.030 4.452 -0.224
-0.250 0.100 5.310
ATOMIC_POSITIONS crystal
Al 0.500 0.500 0.500
Al 0.500 0.000 0.500
Al 0.000 0.000 0.500
Ag 0.000 0.000 0.000
Zr 0.754 0.377 0.130
Zr 0.246 0.623 0.870
```

## Properties
- ΔH_f (0 K): -2.7 eV per formula unit
- Calculated volume: 108.4 Å³ per cell

=====

Entry 6:
Here is an optimized crystal structure of K2LaErS4 from the Alexandria database. Energies are from PBE-GGA. Values from VASP.

The structure in Quantum ESPRESSO input format:
```
&SYSTEM
  ibrav = 0, nat = 8, ntyp = 4
/
ATOMIC_SPECIES
S 32.06 S.upf
K 39.10 K.upf
Er 167.26 Er.upf
La 138.91 La.upf
CELL_PARAMETERS angstrom
4.154 0.000 0.000
0.000 7.201 0.127
0.000 -2.521 7.332
ATOMIC_POSITIONS crystal
S 0.500 0.751 0.794
S 0.500 0.249 0.206
S 0.000 0.722 0.201
S 0.000 0.278 0.799
K 0.500 0.000 0.500
K 0.000 0.500 0.500
Er 0.500 0.500 0.000
La 0.000 0.000 0.000
```

## Properties
- Calculated volume: 220.6 Å³ per cell
- Raw formation energy: -1461.2 kJ/mol of formula units

=====

Entry 7:
Here is an optimized crystal structure of Cd5H4 from the Alexandria database. Energies are from PBE-GGA. Values from VASP.

The structure in Quantum ESPRESSO input format:
```
&SYSTEM
  ibrav = 0, nat = 9, ntyp = 2
/
ATOMIC_SPECIES
H 1.01 H.upf
Cd 112.41 Cd.upf
CELL_PARAMETERS angstrom
4.618 0.000 1.061
2.309 5.924 0.530
0.983 0.000 6.304
ATOMIC_POSITIONS crystal
H 0.545 0.455 0.455
H 0.455 0.545 0.545
H 0.000 0.545 0.455
H 0.000 0.455 0.545
Cd 0.320 0.360 0.000
Cd 0.680 0.640 0.000
Cd 0.680 0.000 0.640
Cd 0.320 0.000 0.360
Cd 0.000 0.000 0.000
```

## Properties
- Calculated volume: 166.3 Å³ per cell

=====

Entry 8:
Here is an optimized crystal structure of TbSb2P2Pd7 from the Alexandria database. Energies are from PBE-GGA. Values from VASP.

The structure in Quantum ESPRESSO input format:
```
&SYSTEM
  ibrav = 0, nat = 12, ntyp = 4
/
ATOMIC_SPECIES
Pd 106.42 Pd.upf
Sb 121.76 Sb.upf
P 30.97 P.upf
Tb 158.93 Tb.upf
CELL_PARAMETERS angstrom
-2.392 -1.923 -3.324
0.816 -3.635 2.568
-9.711 1.385 5.690
ATOMIC_POSITIONS crystal
Pd 0.500 0.500 0.000
Pd 0.162 0.567 0.784
Pd 0.567 0.162 0.784
Pd 0.433 0.838 0.216
Pd 0.838 0.433 0.216
Pd 0.350 0.350 0.398
Pd 0.650 0.650 0.602
Sb 0.150 0.150 0.615
Sb 0.850 0.850 0.385
P 0.312 0.312 0.186
P 0.688 0.688 0.814
Tb 0.000 0.000 0.000
```

## Properties
- Calculated volume: 228.5 Å³ per cell
- Raw formation energy: -601.9 kJ/mol of formula units

=====

Entry 9:
Here is an optimized crystal structure of HfGaTe4 from the Alexandria database. Energies are from PBE-GGA. Values from VASP.

The structure in Quantum ESPRESSO input format:
```
&SYSTEM
  ibrav = 0, nat = 12, ntyp = 3
/
ATOMIC_SPECIES
Te 127.60 Te.upf
Hf 178.49 Hf.upf
Ga 69.72 Ga.upf
CELL_PARAMETERS angstrom
-4.922 -5.738 -2.005
0.735 -3.122 7.133
-4.953 3.530 2.056
ATOMIC_POSITIONS crystal
Te 0.756 0.766 0.340
Te 0.234 0.244 0.840
Te 0.234 0.756 0.660
Te 0.766 0.756 0.840
Te 0.244 0.234 0.340
Te 0.756 0.234 0.160
Te 0.244 0.766 0.160
Te 0.766 0.244 0.660
Hf 0.000 0.000 0.500
Hf 0.000 0.000 0.000
Ga 0.500 0.000 0.750
Ga 0.000 0.500 0.250
```

## Properties
- Calculated volume: 392.7 Å³ per cell
- Raw formation energy: -203.3 kJ/mol of formula units

=====

Entry 10:
Here is an optimized crystal structure of Li2HgOs from the Alexandria database. Energies are from PBE-GGA. Values from VASP.

The structure in Quantum ESPRESSO input format:
```
&SYSTEM
  ibrav = 0, nat = 4, ntyp = 3
/
ATOMIC_SPECIES
Li 6.94 Li.upf
Os 190.23 Os.upf
Hg 200.59 Hg.upf
CELL_PARAMETERS angstrom
-5.292 -0.263 -1.160
-3.561 -1.689 3.728
3.735 3.537 -1.721
ATOMIC_POSITIONS crystal
Li 0.996 0.996 0.000
Li 0.759 0.259 0.500
Os 0.509 0.509 0.000
Hg 0.237 0.737 0.500
```

## Properties
- ΔH_f (0 K): 1.2 eV per formula unit
- Calculated volume: 59.6 Å³ per cell

=====

Entry 11:
Here is an optimized crystal structure of BaV3Fe from the Alexandria database. Energies are from PBE-GGA. Values from VASP.

The structure in Quantum ESPRESSO input format:
```
&SYSTEM
  ibrav = 0, nat = 5, ntyp = 3
/
ATOMIC_SPECIES
Fe 55.84 Fe.upf
V 50.94 V.upf
Ba 137.33 Ba.upf
CELL_PARAMETERS angstrom
4.737 0.000 0.000
0.000 4.737 0.000
0.000 0.000 4.737
ATOMIC_POSITIONS crystal
Fe 0.500 0.500 0.500
V 0.500 0.000 0.000
V 0.000 0.000 0.500
V 0.000 0.500 0.000
Ba 0.000 0.000 0.000
```

## Properties
- Offset from the most stable computed form: 1832 meV per atom
- ΔH_f (0 K): 13.2 eV per formula unit
- Calculated volume: 106.3 Å³ per cell

=====

Entry 12:
Here is an optimized crystal structure of Sm4ThMg3 from the Alexandria database. Energies are from PBE-GGA. Values from VASP.

The structure in Quantum ESPRESSO input format:
```
&SYSTEM
  ibrav = 0, nat = 8, ntyp = 3
/
ATOMIC_SPECIES
Th 232.04 Th.upf
Sm 150.36 Sm.upf
Mg 24.30 Mg.upf
CELL_PARAMETERS angstrom
-0.229 -3.223 -1.871
1.217 -1.836 3.015
-16.047 -1.936 5.296
ATOMIC_POSITIONS crystal
Th 0.500 0.500 0.000
Sm 0.000 0.000 0.862
Sm 0.000 0.000 0.138
Sm 0.000 0.000 0.385
Sm 0.000 0.000 0.615
Mg 0.500 0.500 0.500
Mg 0.500 0.500 0.263
Mg 0.500 0.500 0.737
```

## Properties
- ΔH_f (0 K): -0.5 eV per formula unit
- Calculated volume: 237.1 Å³ per cell

=====

Entry 13:
Here is an optimized crystal structure of La6PmMg from the Alexandria database. Energies are from PBE-GGA. Values from VASP.

The structure in Quantum ESPRESSO input format:
```
&SYSTEM
  ibrav = 0, nat = 8, ntyp = 3
/
ATOMIC_SPECIES
La 138.91 La.upf
Pm 145.00 Pm.upf
Mg 24.30 Mg.upf
CELL_PARAMETERS angstrom
7.073 0.007 -0.034
3.527 6.147 -0.004
3.484 2.044 7.000
ATOMIC_POSITIONS crystal
La 0.723 0.054 0.761
La 0.542 0.274 0.238
La 0.943 0.543 0.239
La 0.277 0.946 0.239
La 0.057 0.457 0.761
La 0.458 0.726 0.762
Pm 0.500 0.500 0.500
Mg 0.000 0.000 0.000
```

## Properties
- Offset from the most stable computed form: 451 meV per atom
- ΔH_f (0 K): 3.5 eV per formula unit
- Calculated volume: 304.7 Å³ per cell

=====

Entry 14:
Here is an optimized crystal structure of RbHfIn from the Alexandria database. Energies are from PBE-GGA. Values from VASP.

The structure in Quantum ESPRESSO input format:
```
&SYSTEM
  ibrav = 0, nat = 3, ntyp = 3
/
ATOMIC_SPECIES
Hf 178.49 Hf.upf
In 114.82 In.upf
Rb 85.47 Rb.upf
CELL_PARAMETERS angstrom
0.000 3.678 3.678
3.678 0.000 3.678
3.678 3.678 0.000
ATOMIC_POSITIONS crystal
Hf 0.500 0.500 0.500
In 0.750 0.750 0.750
Rb 0.250 0.250 0.250
```

## Properties
- Offset from the most stable computed form: 1051 meV per atom
- ΔH_f (0 K): 3.3 eV per formula unit
- Calculated volume: 99.5 Å³ per cell

=====

Entry 15:
Here is an optimized crystal structure of MgAl2OsO8 from the Alexandria database. Energies are from PBE-GGA. Values from VASP.

The structure in Quantum ESPRESSO input format:
```
&SYSTEM
  ibrav = 0, nat = 12, ntyp = 4
/
ATOMIC_SPECIES
O 16.00 O.upf
Mg 24.30 Mg.upf
Os 190.23 Os.upf
Al 26.98 Al.upf
CELL_PARAMETERS angstrom
-4.472 -0.920 -0.170
0.302 -1.571 4.277
-1.185 5.382 2.061
ATOMIC_POSITIONS crystal
O 0.307 0.306 0.000
O 0.690 0.690 0.500
O 0.310 0.310 0.500
O 0.693 0.694 0.000
O 0.199 0.800 0.222
O 0.199 0.800 0.778
O 0.801 0.200 0.778
O 0.801 0.200 0.222
Mg 0.000 0.000 0.500
Os 0.000 0.000 0.000
Al 0.500 0.500 0.736
Al 0.500 0.500 0.264
```

## Properties
- Calculated volume: 122.7 Å³ per cell
- Raw formation energy: -2273.2 kJ/mol of formula units

=====

Entry 16:
Here is an optimized crystal structure of Tb3Pr7Nd from the Alexandria database. Energies are from PBE-GGA. Values from VASP.

The structure in Quantum ESPRESSO input format:
```
&SYSTEM
  ibrav = 0, nat = 11, ntyp = 3
/
ATOMIC_SPECIES
Tb 158.93 Tb.upf
Pr 140.91 Pr.upf
Nd 144.24 Nd.upf
CELL_PARAMETERS angstrom
5.999 -0.188 -0.240
-2.699 8.157 1.077
-2.699 -0.933 8.175
ATOMIC_POSITIONS crystal
Tb 0.000 0.797 0.203
Tb 0.000 0.203 0.797
Tb 0.500 0.000 0.000
Pr 0.792 0.791 0.791
Pr 0.303 0.009 0.597
Pr 0.697 0.403 0.991
Pr 0.000 0.500 0.500
Pr 0.697 0.991 0.403
Pr 0.208 0.209 0.209
Pr 0.303 0.597 0.009
Nd 0.500 0.500 0.500
```

## Properties
- Offset from the most stable computed form: 74 meV per atom
- ΔH_f (0 K): 2.3 eV per formula unit
- Calculated volume: 396.5 Å³ per cell

=====

Entry 17:
Here is an optimized crystal structure of PI3N from the Alexandria database. Energies are from PBE-GGA. Values from VASP.

The structure in Quantum ESPRESSO input format:
```
&SYSTEM
  ibrav = 0, nat = 5, ntyp = 3
/
ATOMIC_SPECIES
I 126.90 I.upf
N 14.01 N.upf
P 30.97 P.upf
CELL_PARAMETERS angstrom
-1.979 -5.184 -0.045
3.234 -1.272 4.326
-4.051 1.517 3.475
ATOMIC_POSITIONS crystal
I 0.500 0.000 0.000
I 0.000 0.500 0.000
I 0.000 0.000 0.500
N 0.500 0.500 0.500
P 0.000 0.000 0.000
```

## Properties
- Offset from the most stable computed form: 267 meV per atom
- Calculated volume: 170.9 Å³ per cell
- Raw formation energy: 568.9 kJ/mol of formula units

=====

Entry 18:
Here is an optimized crystal structure of LiIn2Re from the Alexandria database. Energies are from PBE-GGA. Values from VASP.

The structure in Quantum ESPRESSO input format:
```
&SYSTEM
  ibrav = 0, nat = 4, ntyp = 3
/
ATOMIC_SPECIES
In 114.82 In.upf
Li 6.94 Li.upf
Re 186.21 Re.upf
CELL_PARAMETERS angstrom
9.443 -0.018 -0.011
8.951 3.010 -0.011
8.951 1.456 2.635
ATOMIC_POSITIONS crystal
In 0.002 0.002 0.002
In 0.498 0.498 0.498
Li 0.250 0.250 0.250
Re 0.750 0.750 0.750
```

## Properties
- Offset from the most stable computed form: 67 meV per atom
- ΔH_f (0 K): 1.2 eV per formula unit
- Calculated volume: 75.6 Å³ per cell

=====

Entry 19:
Here is an optimized crystal structure of RhPbSe from the Alexandria database. Energies are from PBE-GGA. Values from VASP.

The structure in Quantum ESPRESSO input format:
```
&SYSTEM
  ibrav = 0, nat = 3, ntyp = 3
/
ATOMIC_SPECIES
Se 78.96 Se.upf
Pb 207.20 Pb.upf
Rh 102.91 Rh.upf
CELL_PARAMETERS angstrom
-3.284 0.663 -1.077
1.280 -3.273 -0.170
-2.226 -1.184 6.058
ATOMIC_POSITIONS crystal
Se 0.333 0.667 0.577
Pb 0.000 0.000 0.036
Rh 0.667 0.333 0.387
```

## Properties
- Offset from the most stable computed form: 107 meV per atom
- Calculated volume: 70.4 Å³ per cell
- Raw formation energy: -50.6 kJ/mol of formula units

=====

Entry 20:
Here is an optimized crystal structure of Fe3B2W2 from the Alexandria database. Energies are from PBE-GGA. Values from VASP.

The structure in Quantum ESPRESSO input format:
```
&SYSTEM
  ibrav = 0, nat = 7, ntyp = 3
/
ATOMIC_SPECIES
B 10.81 B.upf
Fe 55.84 Fe.upf
W 183.84 W.upf
CELL_PARAMETERS angstrom
-1.536 0.423 2.665
2.528 -0.583 1.550
0.679 8.311 -0.927
ATOMIC_POSITIONS crystal
B 0.500 0.719 0.439
B 0.500 0.281 0.561
Fe 0.000 0.000 0.000
Fe 0.500 0.421 0.842
Fe 0.500 0.579 0.158
W 0.000 0.827 0.653
W 0.000 0.173 0.347
```

## Properties
- ΔH_f (0 K): -1.5 eV per formula unit
- Calculated volume: 77.4 Å³ per cell

=====

Sequential calculated density output: 8711, 7725, 9269, 7311, 5686, 3859, 5652, 8790, 6415, 11267, 5404, 6347, 5465, 6319, 5366, 6731, 4137, 9285, 9181, 11942 kg/m3
Sequential DFT total energy output: -0.89, -6.52, -6.11, -6.23, -5.64, -5.42, -1.85, -5.52, -4.61, -3.53, -4.90, -3.95, -4.05, -3.44, -6.96, -4.53, -2.50, -4.66, -5.02, -9.44 eV per atom